DFT (PBE-GGA) results for LaB2C2 after structural relaxation.

Structure (CIF):
```
data_LaB2C2
_chemical_formula_sum 'La2 B4 C4'
_cell_length_a 3.395
_cell_length_b 3.395
_cell_length_c 8.991
_cell_angle_alpha 90.00
_cell_angle_beta 90.00
_cell_angle_gamma 90.00
_space_group_name_H-M_alt 'I 4/m m m'
_space_group_IT_number 139
_space_group_name_Hall '-I 4 2'
loop_
_atom_site_label
_atom_site_type_symbol
_atom_site_fract_x
_atom_site_fract_y
_atom_site_fract_z
La1 La 0.000 0.000 0.000
B1 B 0.000 0.000 0.308
C1 C 0.000 0.500 0.250
```

Summary:
- crystal system = tetragonal
- DFT formation energy (meV per atom) = 587



DFT (PBE-GGA) results for CePmTm after structural relaxation.

Structure (CIF):
```
data_CePmTm
_chemical_formula_sum 'Ce2 Pm2 Tm2'
_cell_length_a 3.544
_cell_length_b 6.154
_cell_length_c 8.737
_cell_angle_alpha 76.57
_cell_angle_beta 89.95
_cell_angle_gamma 89.97
_space_group_name_H-M_alt 'P -1'
_space_group_IT_number 2
loop_
_space_group_symop_operation_xyz
'x,y,z'
'-x,-y,-z'
loop_
_atom_site_label
_atom_site_type_symbol
_atom_site_fract_x
_atom_site_fract_y
_atom_site_fract_z
Ce1 Ce 0.249 0.241 0.004
Pm1 Pm 0.250 0.477 0.323
Tm1 Tm 0.250 0.028 0.668
```

Summary:
- crystal system = triclinic
- energy above the lowest structure with this stoichiometry (kJ/mol of formula units) = 0
- DFT formation energy (meV per atom) = 39



DFT (PBE-GGA) results for Sc6Rh5 after structural relaxation.

Structure (CIF):
```
data_Sc6Rh5
_chemical_formula_sum 'Sc12 Rh10'
_cell_length_a 4.575
_cell_length_b 6.328
_cell_length_c 13.761
_cell_angle_alpha 90.00
_cell_angle_beta 90.00
_cell_angle_gamma 90.00
_space_group_name_H-M_alt 'I m m m'
_space_group_IT_number 71
_space_group_name_Hall '-I 2 2'
loop_
_atom_site_label
_atom_site_type_symbol
_atom_site_fract_x
_atom_site_fract_y
_atom_site_fract_z
Sc1 Sc 0.000 0.245 0.000
Sc2 Sc 0.000 0.254 0.335
Rh1 Rh 0.000 0.000 0.171
Rh2 Rh 0.000 0.000 0.500
Rh3 Rh 0.000 0.500 0.164
```

Summary:
- crystal system = orthorhombic
- DFT formation energy (meV per atom) = -913



DFT (PBE-GGA) results for SrMgGaPb2 after structural relaxation.

Structure (CIF):
```
data_SrMgGaPb2
_chemical_formula_sum 'Sr1 Mg1 Ga1 Pb2'
_cell_length_a 5.542
_cell_length_b 5.542
_cell_length_c 5.893
_cell_angle_alpha 90.00
_cell_angle_beta 90.00
_cell_angle_gamma 90.00
_space_group_name_H-M_alt 'P 4/m m m'
_space_group_IT_number 123
_space_group_name_Hall '-P 4 2'
loop_
_atom_site_label
_atom_site_type_symbol
_atom_site_fract_x
_atom_site_fract_y
_atom_site_fract_z
Sr1 Sr 0.000 0.000 0.000
Mg1 Mg 0.500 0.500 0.000
Ga1 Ga 0.000 0.000 0.500
Pb1 Pb 0.000 0.500 0.500
```

Summary:
- crystal system = tetragonal
- DFT formation energy (meV per atom) = 158



DFT (PBE-GGA) results for KLiBiTe2 after structural relaxation.

Structure (CIF):
```
data_KLiBiTe2
_chemical_formula_sum 'K2 Li2 Bi2 Te4'
_cell_length_a 8.406
_cell_length_b 4.276
_cell_length_c 9.267
_cell_angle_alpha 90.00
_cell_angle_beta 90.03
_cell_angle_gamma 90.00
_space_group_name_H-M_alt 'P 1 2/c 1'
_space_group_IT_number 13
loop_
_space_group_symop_operation_xyz
'x,y,z'
'-x,-y,-z'
'-x,y,-z+1/2'
'x,-y,z+1/2'
loop_
_atom_site_label
_atom_site_type_symbol
_atom_site_fract_x
_atom_site_fract_y
_atom_site_fract_z
K1 K 0.000 0.001 0.250
Li1 Li 0.500 0.000 0.000
Bi1 Bi 0.500 0.500 0.250
Te1 Te 0.248 0.500 0.000
```

Summary:
- crystal system = monoclinic
- ΔE_f (raw) (meV/atom) = -633



DFT (PBE-GGA) results for LiCa2GaRh after structural relaxation.

Structure (CIF):
```
data_LiCa2GaRh
_chemical_formula_sum 'Li1 Ca2 Ga1 Rh1'
_cell_length_a 5.469
_cell_length_b 5.469
_cell_length_c 4.826
_cell_angle_alpha 90.00
_cell_angle_beta 90.00
_cell_angle_gamma 90.00
_space_group_name_H-M_alt 'P 4/m m m'
_space_group_IT_number 123
_space_group_name_Hall '-P 4 2'
loop_
_atom_site_label
_atom_site_type_symbol
_atom_site_fract_x
_atom_site_fract_y
_atom_site_fract_z
Li1 Li 0.000 0.000 0.000
Ca1 Ca 0.000 0.500 0.500
Ga1 Ga 0.500 0.500 0.000
Rh1 Rh 0.500 0.500 0.500
```

Summary:
- crystal system = tetragonal
- DFT formation energy (meV per atom) = -270



DFT (PBE-GGA) results for Mg2ScZnCl after structural relaxation.

Structure (CIF):
```
data_Mg2ScZnCl
_chemical_formula_sum 'Mg2 Sc1 Zn1 Cl1'
_cell_length_a 4.843
_cell_length_b 4.843
_cell_length_c 4.810
_cell_angle_alpha 90.00
_cell_angle_beta 90.00
_cell_angle_gamma 90.00
_space_group_name_H-M_alt 'P 4/m m m'
_space_group_IT_number 123
_space_group_name_Hall '-P 4 2'
loop_
_atom_site_label
_atom_site_type_symbol
_atom_site_fract_x
_atom_site_fract_y
_atom_site_fract_z
Mg1 Mg 0.000 0.500 0.000
Sc1 Sc 0.000 0.000 0.500
Zn1 Zn 0.500 0.500 0.500
Cl1 Cl 0.000 0.000 0.000
```

Summary:
- crystal system = tetragonal
- ΔE_f (raw) (meV/atom) = 29



DFT (PBE-GGA) results for PrCu2O4 after structural relaxation.

Structure (CIF):
```
data_PrCu2O4
_chemical_formula_sum 'Pr8 Cu16 O32'
_cell_length_a 6.346
_cell_length_b 9.442
_cell_length_c 12.338
_cell_angle_alpha 90.00
_cell_angle_beta 90.00
_cell_angle_gamma 90.00
_space_group_name_H-M_alt 'F d d d'
_space_group_IT_number 70
loop_
_space_group_symop_operation_xyz
'x,y,z'
'-x,-y,-z'
'-x+1/4,-y+1/4,z'
'x+1/4,y+1/4,-z'
'x,-y+1/4,-z+1/4'
'-x,y+1/4,z+1/4'
'-x+1/4,y,-z+1/4'
'x+1/4,-y,z+1/4'
'x,y+1/2,z+1/2'
'-x,-y+1/2,-z+1/2'
'-x+1/4,-y+3/4,z+1/2'
'x+1/4,y+3/4,-z+1/2'
'x,-y+3/4,-z+3/4'
'-x,y+3/4,z+3/4'
'-x+1/4,y+1/2,-z+3/4'
'x+1/4,-y+1/2,z+3/4'
'x+1/2,y,z+1/2'
'-x+1/2,-y,-z+1/2'
'-x+3/4,-y+1/4,z+1/2'
'x+3/4,y+1/4,-z+1/2'
'x+1/2,-y+1/4,-z+3/4'
'-x+1/2,y+1/4,z+3/4'
'-x+3/4,y,-z+3/4'
'x+3/4,-y,z+3/4'
'x+1/2,y+1/2,z'
'-x+1/2,-y+1/2,-z'
'-x+3/4,-y+3/4,z'
'x+3/4,y+3/4,-z'
'x+1/2,-y+3/4,-z+1/4'
'-x+1/2,y+3/4,z+1/4'
'-x+3/4,y+1/2,-z+1/4'
'x+3/4,-y+1/2,z+1/4'
loop_
_atom_site_label
_atom_site_type_symbol
_atom_site_fract_x
_atom_site_fract_y
_atom_site_fract_z
Pr1 Pr 0.125 0.125 0.125
Cu1 Cu 0.000 0.000 0.500
O1 O 0.043 0.302 0.990
```

Summary:
- crystal system = orthorhombic
- energy above the lowest structure with this stoichiometry (kJ/mol of formula units) = 58
- ΔE_f (raw) (meV/atom) = -1519



DFT (PBE-GGA) results for SrBe2Mo after structural relaxation.

Structure (CIF):
```
data_SrBe2Mo
_chemical_formula_sum 'Sr4 Be8 Mo4'
_cell_length_a 4.571
_cell_length_b 4.571
_cell_length_c 16.497
_cell_angle_alpha 90.00
_cell_angle_beta 90.00
_cell_angle_gamma 90.00
_space_group_name_H-M_alt 'I 41/a m d'
_space_group_IT_number 141
loop_
_space_group_symop_operation_xyz
'x,y,z'
'-x,-y,-z'
'-y+1/4,x+3/4,z+1/4'
'y+1/4,-x+3/4,-z+1/4'
'-x+1/2,-y,z+1/2'
'x+1/2,y,-z+1/2'
'y+1/4,-x+1/4,z+3/4'
'-y+1/4,x+1/4,-z+3/4'
'x,-y,-z'
'-x,y,z'
'-y+1/4,-x+1/4,-z+3/4'
'y+1/4,x+1/4,z+3/4'
'-x+1/2,y,-z+1/2'
'x+1/2,-y,z+1/2'
'y+1/4,x+3/4,-z+1/4'
'-y+1/4,-x+3/4,z+1/4'
'x+1/2,y+1/2,z+1/2'
'-x+1/2,-y+1/2,-z+1/2'
'-y+3/4,x+1/4,z+3/4'
'y+3/4,-x+1/4,-z+3/4'
'-x,-y+1/2,z'
'x,y+1/2,-z'
'y+3/4,-x+3/4,z+1/4'
'-y+3/4,x+3/4,-z+1/4'
'x+1/2,-y+1/2,-z+1/2'
'-x+1/2,y+1/2,z+1/2'
'-y+3/4,-x+3/4,-z+1/4'
'y+3/4,x+3/4,z+1/4'
'-x,y+1/2,-z'
'x,-y+1/2,z'
'y+3/4,x+1/4,-z+3/4'
'-y+3/4,-x+1/4,z+3/4'
loop_
_atom_site_label
_atom_site_type_symbol
_atom_site_fract_x
_atom_site_fract_y
_atom_site_fract_z
Sr1 Sr 0.000 0.250 0.375
Be1 Be 0.000 0.000 0.000
Mo1 Mo 0.000 0.250 0.875
```

Summary:
- crystal system = tetragonal
- energy above the lowest structure with this stoichiometry (kJ/mol of formula units) = 212
- DFT formation energy (meV per atom) = 928



DFT (PBE-GGA) results for K2MgSc after structural relaxation.

Structure (CIF):
```
data_K2MgSc
_chemical_formula_sum 'K2 Mg1 Sc1'
_cell_length_a 4.880
_cell_length_b 4.880
_cell_length_c 6.380
_cell_angle_alpha 90.00
_cell_angle_beta 90.00
_cell_angle_gamma 90.00
_space_group_name_H-M_alt 'P 4/m m m'
_space_group_IT_number 123
_space_group_name_Hall '-P 4 2'
loop_
_atom_site_label
_atom_site_type_symbol
_atom_site_fract_x
_atom_site_fract_y
_atom_site_fract_z
K1 K 0.000 0.500 0.000
Mg1 Mg 0.000 0.000 0.500
Sc1 Sc 0.500 0.500 0.500
```

Summary:
- crystal system = tetragonal
- DFT formation energy (meV per atom) = 546



DFT (PBE-GGA) results for TlAs2PdO8 after structural relaxation.

Structure (CIF):
```
data_TlAs2PdO8
_chemical_formula_sum 'Tl2 As4 Pd2 O16'
_cell_length_a 7.221
_cell_length_b 7.221
_cell_length_c 6.275
_cell_angle_alpha 90.00
_cell_angle_beta 90.00
_cell_angle_gamma 90.00
_space_group_name_H-M_alt 'I -4 m 2'
_space_group_IT_number 119
_space_group_name_Hall 'I -4 -2'
loop_
_atom_site_label
_atom_site_type_symbol
_atom_site_fract_x
_atom_site_fract_y
_atom_site_fract_z
Tl1 Tl 0.000 0.000 0.000
As1 As 0.000 0.000 0.500
As2 As 0.000 0.500 0.750
Pd1 Pd 0.000 0.500 0.250
O1 O 0.000 0.179 0.315
O2 O 0.000 0.323 0.935
```

Summary:
- crystal system = tetragonal
- ΔE_f (raw) (meV/atom) = -656



DFT (PBE-GGA) results for Tl3Cr5Se12 after structural relaxation.

Structure (CIF):
```
data_Tl3Cr5Se12
_chemical_formula_sum 'Tl24 Cr40 Se96'
_cell_length_a 15.964
_cell_length_b 15.964
_cell_length_c 15.964
_cell_angle_alpha 90.00
_cell_angle_beta 90.00
_cell_angle_gamma 90.00
_space_group_name_H-M_alt 'I a -3 d'
_space_group_IT_number 230
_space_group_name_Hall '-I 4bd 2c 3'
loop_
_atom_site_label
_atom_site_type_symbol
_atom_site_fract_x
_atom_site_fract_y
_atom_site_fract_z
Tl1 Tl 0.000 0.250 0.125
Cr1 Cr 0.000 0.000 0.000
Cr2 Cr 0.000 0.250 0.375
Se1 Se 0.039 0.050 0.647
```

Summary:
- crystal system = cubic
- ΔE_f (raw) (meV/atom) = -300



DFT (PBE-GGA) results for ZnBiS2O8 after structural relaxation.

Structure (CIF):
```
data_ZnBiS2O8
_chemical_formula_sum 'Zn1 Bi1 S2 O8'
_cell_length_a 5.2007
_cell_length_b 5.2007
_cell_length_c 7.1709
_cell_angle_alpha 90.00
_cell_angle_beta 90.00
_cell_angle_gamma 120.00
_space_group_name_H-M_alt 'P -3 m 1'
_space_group_IT_number 164
_space_group_name_Hall '-P 3 2"'
loop_
_atom_site_label
_atom_site_type_symbol
_atom_site_fract_x
_atom_site_fract_y
_atom_site_fract_z
Zn1 Zn 0.0000 0.0000 0.0000
Bi1 Bi 0.0000 0.0000 0.5000
S1 S 0.3333 0.6667 0.7397
O1 O 0.1760 0.3519 0.8068
O2 O 0.3333 0.6667 0.5333
```

Summary:
- crystal system = trigonal
- ΔE_f (raw) (meV/atom) = -1185



DFT (PBE-GGA) results for Tm4ThIn2 after structural relaxation.

Structure (CIF):
```
data_Tm4ThIn2
_chemical_formula_sum 'Tm8 Th2 In4'
_cell_length_a 8.661
_cell_length_b 10.234
_cell_length_c 4.768
_cell_angle_alpha 90.00
_cell_angle_beta 90.00
_cell_angle_gamma 90.00
_space_group_name_H-M_alt 'C m m m'
_space_group_IT_number 65
_space_group_name_Hall '-C 2 2'
loop_
_atom_site_label
_atom_site_type_symbol
_atom_site_fract_x
_atom_site_fract_y
_atom_site_fract_z
Tm1 Tm 0.206 0.000 0.000
Tm2 Tm 0.250 0.250 0.500
Th1 Th 0.000 0.500 0.500
In1 In 0.000 0.272 0.000
```

Summary:
- crystal system = orthorhombic
- energy above the lowest structure with this stoichiometry (kJ/mol of formula units) = 0
- DFT formation energy (meV per atom) = -97



DFT (PBE-GGA) results for CaSmTmLu after structural relaxation.

Structure (CIF):
```
data_CaSmTmLu
_chemical_formula_sum 'Ca4 Sm4 Tm4 Lu4'
_cell_length_a 8.074
_cell_length_b 8.074
_cell_length_c 8.074
_cell_angle_alpha 90.00
_cell_angle_beta 90.00
_cell_angle_gamma 90.00
_space_group_name_H-M_alt 'F -4 3 m'
_space_group_IT_number 216
_space_group_name_Hall 'F -4 2 3'
loop_
_atom_site_label
_atom_site_type_symbol
_atom_site_fract_x
_atom_site_fract_y
_atom_site_fract_z
Ca1 Ca 0.000 0.000 0.000
Sm1 Sm 0.250 0.250 0.250
Tm1 Tm 0.250 0.250 0.750
Lu1 Lu 0.000 0.000 0.500
```

Summary:
- crystal system = cubic
- DFT formation energy (meV per atom) = 154



DFT (PBE-GGA) results for SrCa2Pb2 after structural relaxation.

Structure (CIF):
```
data_SrCa2Pb2
_chemical_formula_sum 'Sr2 Ca4 Pb4'
_cell_length_a 9.485
_cell_length_b 9.485
_cell_length_c 3.658
_cell_angle_alpha 90.00
_cell_angle_beta 90.00
_cell_angle_gamma 90.00
_space_group_name_H-M_alt 'P 4/m b m'
_space_group_IT_number 127
_space_group_name_Hall '-P 4 2ab'
loop_
_atom_site_label
_atom_site_type_symbol
_atom_site_fract_x
_atom_site_fract_y
_atom_site_fract_z
Sr1 Sr 0.000 0.000 0.000
Ca1 Ca 0.124 0.376 0.000
Pb1 Pb 0.176 0.676 0.500
```

Summary:
- crystal system = tetragonal
- energy above the lowest structure with this stoichiometry (kJ/mol of formula units) = 5
- DFT formation energy (meV per atom) = -473



DFT (PBE-GGA) results for LiSm2Tl after structural relaxation.

Structure (CIF):
```
data_LiSm2Tl
_chemical_formula_sum 'Li1 Sm2 Tl1'
_cell_length_a 5.065
_cell_length_b 5.065
_cell_length_c 4.285
_cell_angle_alpha 90.00
_cell_angle_beta 90.00
_cell_angle_gamma 90.00
_space_group_name_H-M_alt 'P 4/m m m'
_space_group_IT_number 123
_space_group_name_Hall '-P 4 2'
loop_
_atom_site_label
_atom_site_type_symbol
_atom_site_fract_x
_atom_site_fract_y
_atom_site_fract_z
Li1 Li 0.000 0.000 0.000
Sm1 Sm 0.000 0.500 0.500
Tl1 Tl 0.500 0.500 0.000
```

Summary:
- crystal system = tetragonal
- DFT formation energy (meV per atom) = -193



DFT (PBE-GGA) results for Tb4Dy3Al after structural relaxation.

Structure (CIF):
```
data_Tb4Dy3Al
_chemical_formula_sum 'Tb4 Dy3 Al1'
_cell_length_a 3.542
_cell_length_b 3.542
_cell_length_c 19.052
_cell_angle_alpha 90.00
_cell_angle_beta 90.00
_cell_angle_gamma 90.00
_space_group_name_H-M_alt 'P 4/m m m'
_space_group_IT_number 123
_space_group_name_Hall '-P 4 2'
loop_
_atom_site_label
_atom_site_type_symbol
_atom_site_fract_x
_atom_site_fract_y
_atom_site_fract_z
Tb1 Tb 0.000 0.000 0.101
Tb2 Tb 0.000 0.000 0.367
Dy1 Dy 0.500 0.500 0.236
Dy2 Dy 0.500 0.500 0.500
Al1 Al 0.500 0.500 0.000
```

Summary:
- crystal system = tetragonal
- DFT formation energy (meV per atom) = -81



DFT (PBE-GGA) results for CeNdDy2Sb4 after structural relaxation.

Structure (CIF):
```
data_CeNdDy2Sb4
_chemical_formula_sum 'Ce1 Nd1 Dy2 Sb4'
_cell_length_a 7.695
_cell_length_b 4.448
_cell_length_c 7.709
_cell_angle_alpha 90.00
_cell_angle_beta 109.42
_cell_angle_gamma 90.00
_space_group_name_H-M_alt 'P 1 2/m 1'
_space_group_IT_number 10
loop_
_space_group_symop_operation_xyz
'x,y,z'
'-x,-y,-z'
'-x,y,-z'
'x,-y,z'
loop_
_atom_site_label
_atom_site_type_symbol
_atom_site_fract_x
_atom_site_fract_y
_atom_site_fract_z
Ce1 Ce 0.000 0.000 0.000
Nd1 Nd 0.000 0.500 0.500
Dy1 Dy 0.500 0.000 0.500
Dy2 Dy 0.500 0.500 0.000
Sb1 Sb 0.257 0.500 0.251
Sb2 Sb 0.258 0.000 0.755
```

Summary:
- crystal system = monoclinic
- ΔE_f (raw) (meV/atom) = -1124



DFT (PBE-GGA) results for AlHg2Sb after structural relaxation.

Structure (CIF):
```
data_AlHg2Sb
_chemical_formula_sum 'Al2 Hg4 Sb2'
_cell_length_a 7.449
_cell_length_b 4.277
_cell_length_c 7.228
_cell_angle_alpha 90.00
_cell_angle_beta 109.69
_cell_angle_gamma 90.00
_space_group_name_H-M_alt 'C 1 m 1'
_space_group_IT_number 8
loop_
_space_group_symop_operation_xyz
'x,y,z'
'x,-y,z'
'x+1/2,y+1/2,z'
'x+1/2,-y+1/2,z'
loop_
_atom_site_label
_atom_site_type_symbol
_atom_site_fract_x
_atom_site_fract_y
_atom_site_fract_z
Al1 Al 0.000 0.000 0.000
Hg1 Hg 0.253 0.000 0.755
Hg2 Hg 0.493 0.000 0.480
Sb1 Sb 0.222 0.500 0.167
```

Summary:
- crystal system = monoclinic
- energy above the lowest structure with this stoichiometry (kJ/mol of formula units) = 0
- ΔE_f (raw) (meV/atom) = 65